# 1
DFT (PBE) results for a relaxed structure of SnAsHBr2.

Unit cell a=5.6796 b=5.6796 c=5.5425 alpha=90.00 beta=90.00 gamma=90.00
Closest atoms and distances in Å follow each position.
Fractional coordinates of all 5 atoms:
1 H 0.5000 0.5000 0.5000  8 Br 3.97, 4 As 4.02
2 As 0.0000 0.0000 0.5000  2 Sn 2.77
3 Sn 0.0000 0.0000 0.0000  2 As 2.77, 4 Br 2.84
4 Br 0.0000 0.5000 0.0000  2 Sn 2.84
5 Br 0.5000 0.0000 0.0000  2 Sn 2.84

Computed properties:
- final energy (eV per cell) = -12.9
- space group = P4/mmm, No. 123



# 2
DFT (PBE) results for a relaxed structure of SnAs2HBr.

Unit cell a=4.1505 b=4.1505 c=6.0218 alpha=90.00 beta=90.00 gamma=90.00
Closest atoms and distances in Å follow each position.
Fractional coordinates of all 5 atoms:
1 H 0.0000 0.0000 0.0000  4 As 2.08
2 As 0.0000 0.5000 0.0000  2 H 2.08
3 As 0.5000 0.0000 0.0000  2 H 2.08
4 Sn 0.5000 0.5000 0.5000  4 Br 2.93
5 Br 0.0000 0.0000 0.5000  4 Sn 2.93, 2 H 3.01

Computed properties:
- final energy (eV per cell) = -16.5
- space group = P4/mmm, No. 123



Q: What is the final energy in the second record?
A: -16.5 eV per cell